(1)
PrGdZnIr: optimized geometry, PBE-GGA.

The calculation puts the total energy at -7.753 eV per atom. The value obtained for the formation enthalpy at 0 K is -0.504 eV/atom.

It has space group F-43m (No. 216), with a = 7.157 Å, b = 7.157 Å, c = 7.157 Å, α = 90.00°, β = 90.00° and γ = 90.00°. The distinct sites, in fractional coordinates, are Pr at (0.000, 0.000, 0.000), Gd at (0.000, 0.000, 0.500), Zn at (0.250, 0.250, 0.250) and Ir at (0.250, 0.250, 0.750).



(2)
GdIrPt2: optimized geometry, PBE-GGA.

The calculation puts the total energy at -9.468 eV per atom. The value obtained for the formation enthalpy at 0 K is -0.712 eV/atom.

It has space group P4/mmm (No. 123), with a = 4.107 Å, b = 4.107 Å, c = 4.134 Å, α = 90.00°, β = 90.00° and γ = 90.00°. The distinct sites, in fractional coordinates, are Gd at (0.000, 0.000, 0.000), Ir at (0.500, 0.500, 0.000) and Pt at (0.000, 0.500, 0.500).



(3)
Gd2IrPt: optimized geometry, PBE-GGA.

The calculation puts the total energy at -11.735 eV per atom. The value obtained for the formation enthalpy at 0 K is -0.969 eV/atom.

It has space group P4/mmm (No. 123), with a = 3.491 Å, b = 3.491 Å, c = 7.001 Å, α = 90.00°, β = 90.00° and γ = 90.00°. The distinct sites, in fractional coordinates, are Gd at (0.000, 0.000, 0.242), Ir at (0.500, 0.500, 0.000) and Pt at (0.500, 0.500, 0.500).



Number 1: D(E_F) 2.12 states/eV/f.u.. Number 2: D(E_F) 3.68 states/eV/f.u.. Number 3: D(E_F) 1.36 states/eV/f.u..